Record 1
Entry from the Alexandria database: MnSnBRh2 after structural relaxation (GGA-PBE).

Properties
Volume (Å³/cell): 70.0
Space group: No. 123
ΔE_f (eV per atom): -0.233

Lattice parameters (Å, degrees): 4.152 4.152 4.058 90.00 90.00 90.00
Each line ends with the local moment (μB).
Fractional positions:
B 0.000 0.000 0.000  -0.10
Mn 0.000 0.000 0.500  2.60
Rh 0.000 0.500 0.000  0.07
Rh 0.500 0.000 0.000  0.07
Sn 0.500 0.500 0.500  -0.11



Record 2
Entry from the Alexandria database: Mn2SnB2Rh5 after structural relaxation (GGA-PBE).

Properties
Volume (Å³/cell): 270.9
Space group: No. 127
ΔE_f (eV per atom): -0.357

Lattice parameters (Å, degrees): 2.979 9.536 9.536 90.00 90.00 90.00
Each line ends with the local moment (μB).
Fractional positions:
Mn 0.000 0.676 0.176  3.97
Mn 0.000 0.324 0.824  3.97
Mn 0.000 0.176 0.324  3.97
Mn 0.000 0.824 0.676  3.97
Sn 0.000 0.000 0.000  -0.03
Sn 0.000 0.500 0.500  -0.03
B 0.000 0.123 0.623  -0.04
B 0.000 0.877 0.377  -0.04
B 0.000 0.623 0.877  -0.04
B 0.000 0.377 0.123  -0.04
Rh 0.500 0.222 0.072  0.25
Rh 0.500 0.778 0.928  0.25
Rh 0.500 0.072 0.778  0.25
Rh 0.500 0.722 0.428  0.25
Rh 0.500 0.928 0.222  0.25
Rh 0.500 0.278 0.572  0.25
Rh 0.500 0.572 0.722  0.25
Rh 0.500 0.428 0.278  0.25
Rh 0.500 0.500 0.000  0.30
Rh 0.500 0.000 0.500  0.30



Record 3
Entry from the Alexandria database: Tb2MnB2Rh5 after structural relaxation (GGA-PBE).

Properties
Volume (Å³/cell): 291.7
Space group: No. 127
ΔE_f (eV per atom): -0.679

Lattice parameters (Å, degrees): 3.185 9.570 9.570 90.00 90.00 90.00
Each line ends with the local moment (μB).
Fractional positions:
Tb 0.000 0.676 0.176  -0.09
Tb 0.000 0.324 0.824  -0.09
Tb 0.000 0.176 0.324  -0.09
Tb 0.000 0.824 0.676  -0.09
Mn 0.000 0.000 0.000  3.77
Mn 0.000 0.500 0.500  3.77
B 0.000 0.123 0.623  0.00
B 0.000 0.877 0.377  0.00
B 0.000 0.623 0.877  0.00
B 0.000 0.377 0.123  0.00
Rh 0.500 0.221 0.070  0.12
Rh 0.500 0.779 0.930  0.12
Rh 0.500 0.070 0.779  0.12
Rh 0.500 0.721 0.430  0.12
Rh 0.500 0.930 0.221  0.12
Rh 0.500 0.279 0.570  0.12
Rh 0.500 0.570 0.721  0.12
Rh 0.500 0.430 0.279  0.12
Rh 0.500 0.500 0.000  0.00
Rh 0.500 0.000 0.500  0.00



volume of number 2 (Mn2SnB2Rh5)? 270.9 Å³/cell



volume of number 3 (Tb2MnB2Rh5)? 291.7 Å³/cell